# 1
NaSc2F (PBEsol, relaxed); symmetry = Fm-3m, No. 225; formation energy (no corrections) = -0.05 eV per atom; calculated volume = 20.98 Å³ per atom; crystal system = cubic
1.0
0.000 3.475 3.475
3.475 0.000 3.475
3.475 3.475 0.000
Na Sc F
1 2 1
Direct
0.000 0.000 0.000 Na
0.250 0.250 0.250 Sc
0.750 0.750 0.750 Sc
0.500 0.500 0.500 F


# 2
Na3SeF (PBEsol, relaxed); symmetry = Pm-3m, No. 221; formation energy (no corrections) = -1.70 eV per atom; calculated volume = 18.09 Å³ per atom; crystal system = cubic; offset from the most stable computed form = 0 meV per atom
1.0
4.489 0.000 0.000
0.000 4.489 0.000
0.000 0.000 4.489
Na Se F
3 1 1
Direct
0.000 0.000 0.500 Na
0.000 0.500 0.000 Na
0.500 0.000 0.000 Na
0.500 0.500 0.500 Se
0.000 0.000 0.000 F


# 3
Na2SiF6 (PBEsol, relaxed); symmetry = P-3m1, No. 164; formation energy (no corrections) = -3.07 eV per atom; calculated volume = 12.23 Å³ per atom; crystal system = trigonal
1.0
9.224 0.000 0.000
-4.612 7.988 0.000
0.000 0.000 4.483
Na Si F
6 3 18
Direct
0.000 0.344 0.000 Na
0.000 0.656 0.000 Na
0.344 0.000 0.000 Na
0.344 0.344 0.000 Na
0.656 0.000 0.000 Na
0.656 0.656 0.000 Na
0.000 0.000 0.000 Si
0.333 0.667 0.503 Si
0.667 0.333 0.497 Si
0.089 0.177 0.213 F
0.089 0.911 0.213 F
0.157 0.579 0.284 F
0.177 0.089 0.787 F
0.245 0.491 0.720 F
0.245 0.755 0.720 F
0.421 0.579 0.284 F
0.421 0.843 0.284 F
0.491 0.245 0.280 F
0.509 0.755 0.720 F
0.579 0.157 0.716 F
0.579 0.421 0.716 F
0.755 0.245 0.280 F
0.755 0.509 0.280 F
0.823 0.911 0.213 F
0.843 0.421 0.716 F
0.911 0.089 0.787 F
0.911 0.823 0.787 F


# 4
Na2SiF6 (PBEsol, relaxed); symmetry = P321, No. 150; formation energy (no corrections) = -3.13 eV per atom; calculated volume = 12.77 Å³ per atom; crystal system = trigonal
1.0
8.883 0.000 0.000
-4.442 7.693 0.000
0.000 0.000 5.044
Na Si F
6 3 18
Direct
0.000 0.287 0.000 Na
0.000 0.625 0.500 Na
0.287 0.000 0.000 Na
0.375 0.375 0.500 Na
0.625 0.000 0.500 Na
0.713 0.713 0.000 Na
0.000 0.000 0.500 Si
0.333 0.667 0.007 Si
0.667 0.333 0.993 Si
0.085 0.903 0.307 F
0.097 0.182 0.307 F
0.153 0.557 0.202 F
0.182 0.097 0.693 F
0.226 0.740 0.812 F
0.260 0.486 0.812 F
0.404 0.847 0.202 F
0.443 0.596 0.202 F
0.486 0.260 0.188 F
0.514 0.774 0.812 F
0.557 0.153 0.798 F
0.596 0.443 0.798 F
0.740 0.226 0.188 F
0.774 0.514 0.188 F
0.818 0.915 0.307 F
0.847 0.404 0.798 F
0.903 0.085 0.693 F
0.915 0.818 0.693 F


# 5
Na2SnF2 (PBEsol, relaxed); symmetry = I4/mmm, No. 139; formation energy (no corrections) = -1.55 eV per atom; calculated volume = 22.97 Å³ per atom; crystal system = tetragonal
1.0
-1.991 1.991 7.242
1.991 -1.991 7.242
1.991 1.991 -7.242
Na Sn F
2 1 2
Direct
0.250 0.750 0.500 Na
0.750 0.250 0.500 Na
0.000 0.000 0.000 Sn
0.304 0.304 0.000 F
0.696 0.696 0.000 F


# 6
NaSn3F (PBEsol, relaxed); symmetry = Pm-3m, No. 221; formation energy (no corrections) = 0.47 eV per atom; calculated volume = 29.85 Å³ per atom; crystal system = cubic
1.0
5.304 0.000 0.000
0.000 5.304 0.000
0.000 0.000 5.304
Na Sn F
1 3 1
Direct
0.000 0.000 0.000 Na
0.000 0.000 0.500 Sn
0.000 0.500 0.000 Sn
0.500 0.000 0.000 Sn
0.500 0.500 0.500 F


# 7
NaSr3F (PBEsol, relaxed); symmetry = Pm-3m, No. 221; formation energy (no corrections) = -0.01 eV per atom; calculated volume = 54.04 Å³ per atom; crystal system = cubic
1.0
6.465 0.000 0.000
0.000 6.465 0.000
0.000 0.000 6.465
Na Sr F
1 3 1
Direct
0.000 0.000 0.000 Na
0.000 0.000 0.500 Sr
0.000 0.500 0.000 Sr
0.500 0.000 0.000 Sr
0.500 0.500 0.500 F


# 8
NaSrTiF6 (PBEsol, relaxed); symmetry = P2_12_12_1, No. 19; formation energy (no corrections) = -3.41 eV per atom; calculated volume = 14.66 Å³ per atom; crystal system = orthorhombic
1.0
5.418 0.000 0.000
0.000 9.450 0.000
0.000 0.000 10.310
Na Sr Ti F
4 4 4 24
Direct
0.043 0.148 0.083 Na
0.457 0.852 0.583 Na
0.543 0.352 0.917 Na
0.957 0.648 0.417 Na
0.009 0.687 0.825 Sr
0.491 0.313 0.325 Sr
0.509 0.813 0.175 Sr
0.991 0.187 0.675 Sr
0.036 0.498 0.127 Ti
0.464 0.502 0.627 Ti
0.536 0.002 0.873 Ti
0.964 0.998 0.373 Ti
0.147 0.999 0.536 F
0.168 0.833 0.320 F
0.208 0.647 0.591 F
0.213 0.121 0.293 F
0.214 0.514 0.292 F
0.220 0.661 0.049 F
0.280 0.339 0.549 F
0.286 0.486 0.792 F
0.287 0.879 0.793 F
0.292 0.353 0.091 F
0.332 0.167 0.820 F
0.353 0.001 0.036 F
0.647 0.501 0.464 F
0.668 0.667 0.680 F
0.708 0.853 0.409 F
0.713 0.379 0.707 F
0.714 0.986 0.708 F
0.720 0.839 0.951 F
0.780 0.161 0.451 F
0.786 0.014 0.208 F
0.787 0.621 0.207 F
0.792 0.147 0.909 F
0.832 0.333 0.180 F
0.853 0.499 0.964 F